Crystalline Ho2HfZn at its relaxed geometry, computed with PBE-GGA.

Lattice parameters (Å, degrees): 3.237 3.237 11.372 81.82 81.82 60.00
Element x y z (fractional)
Ho (0.904, 0.904, 0.287)
Ho (0.096, 0.096, 0.713)
Zn (0.500, 0.500, 0.500)
Hf (0.000, 0.000, 0.000)

Output
uncorrected energy = -4.782 eV/atom
crystal system = trigonal
energy of formation from the pure elements = 121 kJ/mol of formula units
relative energy among the computed polymorphs = 9.52 kcal/mol of atoms


Crystalline BaSr2GeRh at its relaxed geometry, computed with PBE-GGA.

Lattice parameters (Å, degrees): 6.359 4.948 6.359 90.00 90.00 90.00
Element x y z (fractional)
Sr (0.000, 0.000, 0.500)
Sr (0.500, 0.000, 0.000)
Ge (0.500, 0.500, 0.500)
Rh (0.000, 0.500, 0.000)
Ba (0.000, 0.000, 0.000)

Output
uncorrected energy = -2.516 eV/atom
crystal system = tetragonal
energy of formation from the pure elements = 451 kJ/mol of formula units


Crystalline FeCuTc at its relaxed geometry, computed with PBE-GGA.

Lattice parameters (Å, degrees): 6.517 6.387 2.558 81.44 75.72 22.84
Element x y z (fractional)
Tc (0.330, 0.330, 0.670)
Cu (0.005, 0.005, 0.995)
Fe (0.665, 0.665, 0.335)

Output
uncorrected energy = -7.423 eV/atom
crystal system = orthorhombic
energy of formation from the pure elements = 63 kJ/mol of formula units
relative energy among the computed polymorphs = 0.46 kcal/mol of atoms


no.,calculated volume (Å³/cell)
1,101.8
2,200.1
3,39.2